Arrangement A

Entry from the Alexandria database: SrAuI4 after structural relaxation (GGA-PBE).

Unit cell a=7.7035 b=4.8086 c=15.4674 alpha=90.00 beta=113.57 gamma=90.00
Last column: nearest neighbours and their distance in Å.
Fractional coordinates of all 12 atoms:
Sr  0.0000  0.0000  0.0000  6 I 3.30-3.33
Sr  0.0000  0.5000  0.5000  6 I 3.30-3.33
Au  0.5000  0.0000  0.5000  4 I 2.74-2.87
Au  0.5000  0.5000  0.0000  4 I 2.74-2.87
I  0.2251  0.1861  0.8670  1 Au 2.74
I  0.2251  0.3139  0.3670  1 Au 2.74
I  0.2980  0.9996  0.6207  1 Au 2.87
I  0.2980  0.5004  0.1207  1 Au 2.87
I  0.7020  0.0004  0.3793  1 Au 2.87
I  0.7020  0.4996  0.8793  1 Au 2.87
I  0.7749  0.6861  0.6330  1 Au 2.74
I  0.7749  0.8139  0.1330  1 Au 2.74

Values from the calculation:
The density of states at the Fermi level is 0.877 states/eV per atom. The spin magnetization comes out at 0.0 μB per formula unit.

***

Arrangement B

Entry from the Alexandria database: SrAuI4 after structural relaxation (GGA-PBE).

Unit cell a=6.1213 b=10.8062 c=8.8178 alpha=90.00 beta=109.49 gamma=90.00
Last column: nearest neighbours and their distance in Å.
Fractional coordinates of all 12 atoms:
Sr  0.0674  0.2500  0.1275  7 I 3.18-3.48
Sr  0.9326  0.7500  0.8725  7 I 3.18-3.48
Au  0.2299  0.7500  0.4428  3 I 2.71-2.84
Au  0.7701  0.2500  0.5572  3 I 2.71-2.84
I  0.1102  0.5679  0.1958  1 Au 2.84
I  0.1102  0.9321  0.1958  1 Au 2.84
I  0.2650  0.2500  0.5426  2 Au 3.05-3.07
I  0.3824  0.7500  0.7684  1 Au 2.71
I  0.6176  0.2500  0.2316  1 Au 2.71
I  0.7350  0.7500  0.4574  2 Au 3.05-3.07
I  0.8898  0.0679  0.8042  1 Au 2.84
I  0.8898  0.4321  0.8042  1 Au 2.84

Values from the calculation:
The density of states at the Fermi level is 0.412 states/eV per atom. The spin magnetization comes out at 0.0 μB per formula unit.

***

Bottom line: arrangement A, by a margin of 4.1 kJ/mol of atoms.

***

Arrangement A

Entry from the Alexandria database: SrAuI2 after structural relaxation (GGA-PBE).

Unit cell a=8.0516 b=8.0516 c=8.0516 alpha=90.00 beta=90.00 gamma=90.00
Last column: nearest neighbours and their distance in Å.
Fractional coordinates of all 16 atoms:
Sr  0.0000  0.0000  0.0000  8 I 3.49
Sr  0.0000  0.5000  0.5000  8 I 3.49
Sr  0.5000  0.0000  0.5000  8 I 3.49
Sr  0.5000  0.5000  0.0000  8 I 3.49
Au  0.0000  0.0000  0.5000  8 I 3.49
Au  0.0000  0.5000  0.0000  8 I 3.49
Au  0.5000  0.0000  0.0000  8 I 3.49
Au  0.5000  0.5000  0.5000  8 I 3.49
I  0.2500  0.2500  0.2500  4 Sr 3.49, 4 Au 3.49
I  0.2500  0.2500  0.7500  4 Au 3.49, 4 Sr 3.49
I  0.2500  0.7500  0.2500  4 Au 3.49, 4 Sr 3.49
I  0.2500  0.7500  0.7500  4 Sr 3.49, 4 Au 3.49
I  0.7500  0.2500  0.2500  4 Au 3.49, 4 Sr 3.49
I  0.7500  0.2500  0.7500  4 Sr 3.49, 4 Au 3.49
I  0.7500  0.7500  0.2500  4 Sr 3.49, 4 Au 3.49
I  0.7500  0.7500  0.7500  4 Au 3.49, 4 Sr 3.49

Values from the calculation:
The density of states at the Fermi level is 1.187 states/eV per atom. The spin magnetization comes out at 0.0 μB per formula unit.

***

Arrangement B

Entry from the Alexandria database: SrAuI2 after structural relaxation (GGA-PBE).

Unit cell a=5.7836 b=5.7836 c=19.3766 alpha=90.00 beta=90.00 gamma=90.00
Last column: nearest neighbours and their distance in Å.
Fractional coordinates of all 16 atoms:
Sr  0.0000  0.0000  0.0000  4 I 3.25
Sr  0.0000  0.5000  0.2500  4 I 3.25
Sr  0.5000  0.0000  0.7500  4 I 3.25
Sr  0.5000  0.5000  0.5000  4 I 3.25
Au  0.0000  0.0000  0.5000  4 I 3.10
Au  0.0000  0.5000  0.7500  4 I 3.10
Au  0.5000  0.0000  0.2500  4 I 3.10
Au  0.5000  0.5000  0.0000  4 I 3.10
I  0.2208  0.2500  0.6250  2 Au 3.10, 2 Sr 3.25
I  0.2500  0.7208  0.8750  2 Au 3.10, 2 Sr 3.25
I  0.2500  0.7792  0.3750  2 Au 3.10, 2 Sr 3.25
I  0.2792  0.2500  0.1250  2 Au 3.10, 2 Sr 3.25
I  0.7208  0.7500  0.1250  2 Au 3.10, 2 Sr 3.25
I  0.7500  0.2208  0.3750  2 Au 3.10, 2 Sr 3.25
I  0.7500  0.2792  0.8750  2 Au 3.10, 2 Sr 3.25
I  0.7792  0.7500  0.6250  2 Au 3.10, 2 Sr 3.25

Values from the calculation:
The density of states at the Fermi level is 0.062 states/eV per atom. The spin magnetization comes out at 0.0 μB per formula unit.

***

Bottom line: arrangement A, by a margin of 6.0 kJ/mol of atoms.

***

Arrangement A

Entry from the Alexandria database: Sr2Au2I after structural relaxation (GGA-PBE).

Unit cell a=8.7519 b=8.7519 c=4.0404 alpha=90.00 beta=90.00 gamma=90.00
Last column: nearest neighbours and their distance in Å.
Fractional coordinates of all 10 atoms:
Sr  0.1766  0.3234  0.0000  6 Au 3.27-3.30
Sr  0.3234  0.8234  0.0000  6 Au 3.27-3.30
Sr  0.6766  0.1766  0.0000  6 Au 3.27-3.30
Sr  0.8234  0.6766  0.0000  6 Au 3.27-3.30
Au  0.1153  0.6153  0.5000  1 Au 2.85
Au  0.3847  0.1153  0.5000  1 Au 2.85
Au  0.6153  0.8847  0.5000  1 Au 2.85
Au  0.8847  0.3847  0.5000  1 Au 2.85
I  0.0000  0.0000  0.5000  4 Au 3.52, 8 Sr 3.81
I  0.5000  0.5000  0.5000  4 Au 3.52, 8 Sr 3.81

Values from the calculation:
The density of states at the Fermi level is 0.420 states/eV per atom. The spin magnetization comes out at 0.0 μB per formula unit.

***

Arrangement B

Entry from the Alexandria database: Sr2Au2I after structural relaxation (GGA-PBE).

Unit cell a=8.8921 b=8.8921 c=4.1511 alpha=90.00 beta=90.00 gamma=90.00
Last column: nearest neighbours and their distance in Å.
Fractional coordinates of all 10 atoms:
Sr  0.1744  0.3256  0.0000  2 I 3.28, 6 Au 3.35-3.37
Sr  0.3256  0.8256  0.0000  2 I 3.28, 6 Au 3.35-3.37
Sr  0.6744  0.1744  0.0000  2 I 3.28, 6 Au 3.35-3.37
Sr  0.8256  0.6744  0.0000  2 I 3.28, 6 Au 3.35-3.37
Au  0.1149  0.6149  0.5000  1 Au 2.89
Au  0.3851  0.1149  0.5000  1 Au 2.89
Au  0.6149  0.8851  0.5000  1 Au 2.89
Au  0.8851  0.3851  0.5000  1 Au 2.89
I  0.0000  0.0000  0.0000  4 Sr 3.28
I  0.5000  0.5000  0.0000  4 Sr 3.28

Values from the calculation:
The density of states at the Fermi level is 0.488 states/eV per atom. The spin magnetization comes out at 0.0 μB per formula unit.

***

Arrangement C

Entry from the Alexandria database: Sr2Au2I after structural relaxation (GGA-PBE).

Unit cell a=5.6904 b=5.6904 c=10.8069 alpha=90.00 beta=90.00 gamma=90.00
Last column: nearest neighbours and their distance in Å.
Fractional coordinates of all 10 atoms:
Sr  0.0000  0.5000  0.2500  4 Au 3.14
Sr  0.0000  0.5000  0.7500  4 Au 3.14
Sr  0.5000  0.0000  0.2500  4 Au 3.14
Sr  0.5000  0.0000  0.7500  4 Au 3.14
Au  0.0000  0.0000  0.1264  1 Au 2.73
Au  0.0000  0.0000  0.8736  1 Au 2.73
Au  0.5000  0.5000  0.3736  1 Au 2.73
Au  0.5000  0.5000  0.6264  1 Au 2.73
I  0.0000  0.0000  0.5000  8 Sr 3.92, 10 Au 4.04-4.25
I  0.5000  0.5000  0.0000  8 Sr 3.92, 10 Au 4.04-4.25

Values from the calculation:
The density of states at the Fermi level is 0.604 states/eV per atom. The spin magnetization comes out at 0.0 μB per formula unit.

***

Bottom line: arrangement B, by a margin of 0.6 kJ/mol of atoms.

***

Arrangement A

Entry from the Alexandria database: SrTeAuI2 after structural relaxation (GGA-PBE).

Unit cell a=5.6088 b=5.6088 c=5.7579 alpha=90.00 beta=90.00 gamma=90.00
Last column: nearest neighbours and their distance in Å.
Fractional coordinates of all 5 atoms:
Sr  0.0000  0.0000  0.0000  4 Te 3.97, 8 I 4.02
Te  0.5000  0.5000  0.0000  2 Au 2.88
Au  0.5000  0.5000  0.5000  4 I 2.80, 2 Te 2.88
I  0.0000  0.5000  0.5000  2 Au 2.80
I  0.5000  0.0000  0.5000  2 Au 2.80

Values from the calculation:
The density of states at the Fermi level is 0.214 states/eV per atom. The spin magnetization comes out at 0.0 μB per formula unit.

***

Arrangement B

Entry from the Alexandria database: SrTeAuI2 after structural relaxation (GGA-PBE).

Unit cell a=6.2799 b=6.2799 c=6.6299 alpha=90.00 beta=90.00 gamma=90.00
Last column: nearest neighbours and their distance in Å.
Fractional coordinates of all 5 atoms:
Sr  0.0000  0.0000  0.0000  4 I 3.14, 2 Te 3.31
Te  0.0000  0.0000  0.5000  2 Sr 3.31
Au  0.5000  0.5000  0.5000  4 Te 4.44, 8 I 4.57
I  0.0000  0.5000  0.0000  2 Sr 3.14
I  0.5000  0.0000  0.0000  2 Sr 3.14

Values from the calculation:
The density of states at the Fermi level is 0.955 states/eV per atom. The spin magnetization comes out at 1.0 μB per formula unit.

***

Bottom line: arrangement A, by a margin of 52.1 kJ/mol of atoms.

***

Arrangement A

Entry from the Alexandria database: TaAu3I after structural relaxation (GGA-PBE).

Unit cell a=5.2085 b=5.2085 c=5.2085 alpha=90.00 beta=90.00 gamma=90.00
Last column: nearest neighbours and their distance in Å.
Fractional coordinates of all 5 atoms:
Ta  0.0000  0.0000  0.0000  6 Au 2.60
Au  0.0000  0.0000  0.5000  2 Ta 2.60
Au  0.0000  0.5000  0.0000  2 Ta 2.60
Au  0.5000  0.0000  0.0000  2 Ta 2.60
I  0.5000  0.5000  0.5000  12 Au 3.68

Values from the calculation:
The density of states at the Fermi level is 0.762 states/eV per atom. The spin magnetization comes out at 0.0 μB per formula unit.

***

Arrangement B

Entry from the Alexandria database: TaAu3I after structural relaxation (GGA-PBE).

Unit cell a=5.2334 b=5.2334 c=5.2334 alpha=90.00 beta=90.00 gamma=90.00
Last column: nearest neighbours and their distance in Å.
Fractional coordinates of all 5 atoms:
Ta  0.0000  0.0000  0.0000  12 Au 3.70
Au  0.0000  0.5000  0.5000  2 I 2.62
Au  0.5000  0.0000  0.5000  2 I 2.62
Au  0.5000  0.5000  0.0000  2 I 2.62
I  0.5000  0.5000  0.5000  6 Au 2.62

Values from the calculation:
The density of states at the Fermi level is 1.181 states/eV per atom. The spin magnetization comes out at 3.2 μB per formula unit.

***

Bottom line: arrangement A, by a margin of 81.4 kJ/mol of atoms.

***

Arrangement A

Entry from the Alexandria database: TaAuI2 after structural relaxation (GGA-PBE).

Unit cell a=7.1510 b=7.1510 c=7.1510 alpha=90.00 beta=90.00 gamma=90.00
Last column: nearest neighbours and their distance in Å.
Fractional coordinates of all 16 atoms:
Ta  0.0000  0.0000  0.0000  8 I 3.10
Ta  0.0000  0.5000  0.5000  8 I 3.10
Ta  0.5000  0.0000  0.5000  8 I 3.10
Ta  0.5000  0.5000  0.0000  8 I 3.10
Au  0.0000  0.0000  0.5000  8 I 3.10
Au  0.0000  0.5000  0.0000  8 I 3.10
Au  0.5000  0.0000  0.0000  8 I 3.10
Au  0.5000  0.5000  0.5000  8 I 3.10
I  0.2500  0.2500  0.2500  4 Ta 3.10, 4 Au 3.10
I  0.2500  0.2500  0.7500  4 Ta 3.10, 4 Au 3.10
I  0.2500  0.7500  0.2500  4 Ta 3.10, 4 Au 3.10
I  0.2500  0.7500  0.7500  4 Ta 3.10, 4 Au 3.10
I  0.7500  0.2500  0.2500  4 Ta 3.10, 4 Au 3.10
I  0.7500  0.2500  0.7500  4 Ta 3.10, 4 Au 3.10
I  0.7500  0.7500  0.2500  4 Ta 3.10, 4 Au 3.10
I  0.7500  0.7500  0.7500  4 Au 3.10, 4 Ta 3.10

Values from the calculation:
The density of states at the Fermi level is 0.881 states/eV per atom. The spin magnetization comes out at 0.0 μB per formula unit.

***

Arrangement B

Entry from the Alexandria database: TaAuI2 after structural relaxation (GGA-PBE).

Unit cell a=10.0845 b=10.0845 c=5.3319 alpha=90.00 beta=90.00 gamma=90.00
Last column: nearest neighbours and their distance in Å.
Fractional coordinates of all 16 atoms:
Ta  0.0000  0.0000  0.0000  2 Au 2.67, 4 I 2.81
Ta  0.0000  0.5000  0.2500  2 Au 2.67, 4 I 2.81
Ta  0.5000  0.0000  0.7500  2 Au 2.67, 4 I 2.81
Ta  0.5000  0.5000  0.5000  2 Au 2.67, 4 I 2.81
Au  0.0000  0.0000  0.5000  2 Ta 2.67
Au  0.0000  0.5000  0.7500  2 Ta 2.67
Au  0.5000  0.0000  0.2500  2 Ta 2.67
Au  0.5000  0.5000  0.0000  2 Ta 2.67
I  0.1028  0.2500  0.1250  2 Ta 2.81
I  0.2500  0.6028  0.3750  2 Ta 2.81
I  0.2500  0.8972  0.8750  2 Ta 2.81
I  0.3972  0.2500  0.6250  2 Ta 2.81
I  0.6028  0.7500  0.6250  2 Ta 2.81
I  0.7500  0.1028  0.8750  2 Ta 2.81
I  0.7500  0.3972  0.3750  2 Ta 2.81
I  0.8972  0.7500  0.1250  2 Ta 2.81

Values from the calculation:
The density of states at the Fermi level is 0.572 states/eV per atom. The spin magnetization comes out at 1.2 μB per formula unit.

***

Bottom line: arrangement B, by a margin of 45.4 kJ/mol of atoms.

***

Arrangement A

Entry from the Alexandria database: TaTe2AuI after structural relaxation (GGA-PBE).

Unit cell a=5.3631 b=5.3631 c=5.5967 alpha=90.00 beta=90.00 gamma=90.00
Last column: nearest neighbours and their distance in Å.
Fractional coordinates of all 5 atoms:
Ta  0.0000  0.0000  0.0000  4 Te 2.68, 2 I 2.80
Te  0.0000  0.5000  0.0000  2 Ta 2.68
Te  0.5000  0.0000  0.0000  2 Ta 2.68
Au  0.5000  0.5000  0.5000  4 I 3.79, 8 Te 3.88
I  0.0000  0.0000  0.5000  2 Ta 2.80

Values from the calculation:
The density of states at the Fermi level is 0.750 states/eV per atom. The spin magnetization comes out at 0.0 μB per formula unit.

***

Arrangement B

Entry from the Alexandria database: TaTe2AuI after structural relaxation (GGA-PBE).

Unit cell a=5.3932 b=5.3932 c=5.2974 alpha=90.00 beta=90.00 gamma=90.00
Last column: nearest neighbours and their distance in Å.
Fractional coordinates of all 5 atoms:
Ta  0.0000  0.0000  0.0000  8 Te 3.78, 4 I 3.81
Te  0.0000  0.5000  0.5000  2 Au 2.70
Te  0.5000  0.0000  0.5000  2 Au 2.70
Au  0.5000  0.5000  0.5000  2 I 2.65, 4 Te 2.70
I  0.5000  0.5000  0.0000  2 Au 2.65

Values from the calculation:
The density of states at the Fermi level is 1.247 states/eV per atom. The spin magnetization comes out at 0.1 μB per formula unit.

***

Bottom line: arrangement A, by a margin of 79.8 kJ/mol of atoms.

***

Arrangement A

Entry from the Alexandria database: TaTeAuI2 after structural relaxation (GGA-PBE).

Unit cell a=5.5296 b=5.5296 c=5.3829 alpha=90.00 beta=90.00 gamma=90.00
Last column: nearest neighbours and their distance in Å.
Fractional coordinates of all 5 atoms:
Ta  0.0000  0.0000  0.0000  2 Te 2.69, 4 I 2.76
Te  0.0000  0.0000  0.5000  2 Ta 2.69
Au  0.5000  0.5000  0.5000  8 I 3.86, 4 Te 3.91
I  0.0000  0.5000  0.0000  2 Ta 2.76
I  0.5000  0.0000  0.0000  2 Ta 2.76

Values from the calculation:
The density of states at the Fermi level is 0.788 states/eV per atom. The spin magnetization comes out at 0.0 μB per formula unit.

***

Arrangement B

Entry from the Alexandria database: TaTeAuI2 after structural relaxation (GGA-PBE).

Unit cell a=5.4334 b=5.4334 c=5.5782 alpha=90.00 beta=90.00 gamma=90.00
Last column: nearest neighbours and their distance in Å.
Fractional coordinates of all 5 atoms:
Ta  0.0000  0.0000  0.0000  4 Te 3.84, 8 I 3.89
Te  0.5000  0.5000  0.0000  2 Au 2.79
Au  0.5000  0.5000  0.5000  4 I 2.72, 2 Te 2.79
I  0.0000  0.5000  0.5000  2 Au 2.72
I  0.5000  0.0000  0.5000  2 Au 2.72

Values from the calculation:
The density of states at the Fermi level is 1.075 states/eV per atom. The spin magnetization comes out at 2.9 μB per formula unit.

***

Bottom line: arrangement A, by a margin of 70.4 kJ/mol of atoms.